# 1
The following is a SCAN calculation of a crystal of Ge3MoOs relaxed with PBEsol, from Alexandria.

## Properties
DOS at the Fermi energy   1.90 states/eV per cell
Space-group type   Pm-3m, No. 221
VASP energy   -156.84 eV for the cell shown
Volume   107.0 Å³/f.u.

a = 4.7479 Å, b = 4.7479 Å, c = 4.7479 Å
α = 90.00°, β = 90.00°, γ = 90.00°
Each line ends with the local moment (μB).
Atoms (fractional coordinates):
Mo 0.0000 0.0000 0.0000  0.72
Os 0.5000 0.5000 0.5000  2.45
Ge 0.0000 0.5000 0.0000  0.02
Ge 0.0000 0.0000 0.5000  0.02
Ge 0.5000 0.0000 0.0000  0.02

***

# 2
The following is a SCAN calculation of a crystal of GeMoPb3 relaxed with PBEsol, from Alexandria.

## Properties
DOS at the Fermi energy   4.78 states/eV per cell
Space-group type   Pm-3m, No. 221
VASP energy   -277.54 eV for the cell shown
Volume   150.8 Å³/f.u.

a = 5.3225 Å, b = 5.3225 Å, c = 5.3225 Å
α = 90.00°, β = 90.00°, γ = 90.00°
Each line ends with the local moment (μB).
Atoms (fractional coordinates):
Pb 0.0000 0.5000 0.0000  -0.01
Pb 0.0000 0.0000 0.5000  -0.01
Pb 0.5000 0.0000 0.0000  -0.01
Mo 0.0000 0.0000 0.0000  1.52
Ge 0.5000 0.5000 0.5000  0.52